1.
Computed, not measured: a relaxed Ca2ScCl crystal at the PBE level of DFT.

Output
* D(E_F): 2.3 states/eV/f.u.
* E_form (uncorrected): -0.200 eV per atom
* M_tot: 0.000 μB/atom
* space group: Pmmm (47)

Cell lengths 3.972, 4.853, 6.699 Å; angles 90.00, 90.00, 90.00 degrees
Element x y z (fractional)
Ca  0.000  0.000  0.000
Ca  0.500  0.000  0.500
Sc  0.000  0.500  0.500
Cl  0.500  0.500  0.000

=====

2.
Computed, not measured: a relaxed CaScCl2 crystal at the PBE level of DFT.

Output
* D(E_F): 2.7 states/eV/f.u.
* E_form (uncorrected): -1.186 eV per atom
* M_tot: 0.000 μB/atom
* space group: Cmmm (65)

Cell lengths 3.403, 6.720, 8.756 Å; angles 90.00, 90.00, 90.00 degrees
Element x y z (fractional)
Ca  0.000  0.000  0.000
Ca  0.500  0.500  0.000
Sc  0.000  0.000  0.500
Sc  0.500  0.500  0.500
Cl  0.000  0.500  0.267
Cl  0.000  0.500  0.733
Cl  0.500  0.000  0.267
Cl  0.500  0.000  0.733

=====

3.
Computed, not measured: a relaxed Ca2ScCl crystal at the PBE level of DFT.

Output
* D(E_F): 4.8 states/eV/f.u.
* E_form (uncorrected): -0.194 eV per atom
* M_tot: 0.000 μB/atom
* space group: I-4m2 (119)

Cell lengths 4.435, 4.435, 13.051 Å; angles 90.00, 90.00, 90.00 degrees
Element x y z (fractional)
Ca  0.000  0.000  0.000
Ca  0.000  0.500  0.250
Ca  0.500  0.000  0.750
Ca  0.500  0.500  0.500
Sc  0.000  0.000  0.500
Sc  0.500  0.500  0.000
Cl  0.000  0.500  0.750
Cl  0.500  0.000  0.250

=====

4.
Computed, not measured: a relaxed Ca2ScCl crystal at the PBE level of DFT.

Output
* D(E_F): 5.7 states/eV/f.u.
* E_form (uncorrected): -0.414 eV per atom
* M_tot: 0.300 μB/atom
* space group: Immm (71)

Cell lengths 3.567, 6.610, 10.773 Å; angles 90.00, 90.00, 90.00 degrees
Element x y z (fractional)
Ca  0.000  0.000  0.204
Ca  0.000  0.000  0.796
Ca  0.500  0.500  0.296
Ca  0.500  0.500  0.704
Sc  0.000  0.500  0.000
Sc  0.500  0.000  0.500
Cl  0.000  0.500  0.500
Cl  0.500  0.000  0.000

=====

5.
Computed, not measured: a relaxed CaScCl crystal at the PBE level of DFT.

Output
* D(E_F): 1.6 states/eV/f.u.
* E_form (uncorrected): -0.751 eV per atom
* M_tot: 0.000 μB/atom
* space group: Fmm2 (42)

Cell lengths 3.702, 5.950, 14.042 Å; angles 90.00, 90.00, 90.00 degrees
Element x y z (fractional)
Ca  0.000  0.000  0.000
Ca  0.000  0.500  0.500
Ca  0.500  0.000  0.500
Ca  0.500  0.500  0.000
Sc  0.000  0.000  0.308
Sc  0.000  0.500  0.808
Sc  0.500  0.000  0.808
Sc  0.500  0.500  0.308
Cl  0.000  0.000  0.662
Cl  0.000  0.500  0.162
Cl  0.500  0.000  0.162
Cl  0.500  0.500  0.662

=====

6.
Computed, not measured: a relaxed CaScCl2 crystal at the PBE level of DFT.

Output
* D(E_F): 2.4 states/eV/f.u.
* E_form (uncorrected): -1.334 eV per atom
* M_tot: 0.223 μB/atom
* space group: Imm2 (44)

Cell lengths 3.430, 3.444, 19.097 Å; angles 90.00, 90.00, 90.00 degrees
Element x y z (fractional)
Ca  0.000  0.000  0.000
Ca  0.500  0.500  0.500
Sc  0.000  0.500  0.161
Sc  0.500  0.000  0.661
Cl  0.000  0.000  0.425
Cl  0.000  0.500  0.725
Cl  0.500  0.000  0.225
Cl  0.500  0.500  0.925

=====

7.
Computed, not measured: a relaxed CaScCl4 crystal at the PBE level of DFT.

Output
* D(E_F): 10.6 states/eV/f.u.
* E_form (uncorrected): -0.373 eV per atom
* M_tot: 0.168 μB/atom
* space group: F-43m (216)

Cell lengths 5.969, 5.969, 5.969 Å; angles 60.00, 60.00, 60.00 degrees
Element x y z (fractional)
Ca  0.000  0.000  0.000
Sc  0.250  0.250  0.250
Cl  0.126  0.625  0.625
Cl  0.625  0.126  0.625
Cl  0.625  0.625  0.126
Cl  0.625  0.625  0.625

=====

8.
Computed, not measured: a relaxed CaScCl crystal at the PBE level of DFT.

Output
* D(E_F): 1.9 states/eV/f.u.
* E_form (uncorrected): -0.267 eV per atom
* M_tot: 0.668 μB/atom
* space group: F-43m (216)

Cell lengths 6.771, 6.771, 6.771 Å; angles 90.00, 90.00, 90.00 degrees
Element x y z (fractional)
Ca  0.000  0.000  0.000
Ca  0.000  0.500  0.500
Ca  0.500  0.000  0.500
Ca  0.500  0.500  0.000
Sc  0.000  0.000  0.500
Sc  0.000  0.500  0.000
Sc  0.500  0.000  0.000
Sc  0.500  0.500  0.500
Cl  0.250  0.250  0.250
Cl  0.250  0.750  0.750
Cl  0.750  0.250  0.750
Cl  0.750  0.750  0.250

=====

Please write out number 7 again, unchanged.
Computed, not measured: a relaxed CaScCl4 crystal at the PBE level of DFT.

Output
* D(E_F): 10.6 states/eV/f.u.
* E_form (uncorrected): -0.373 eV per atom
* M_tot: 0.168 μB/atom
* space group: F-43m (216)

Cell lengths 5.969, 5.969, 5.969 Å; angles 60.00, 60.00, 60.00 degrees
Element x y z (fractional)
Ca  0.000  0.000  0.000
Sc  0.250  0.250  0.250
Cl  0.126  0.625  0.625
Cl  0.625  0.126  0.625
Cl  0.625  0.625  0.126
Cl  0.625  0.625  0.625

=====

Which of these has the highest E_form (uncorrected)?
number 3

=====

Copy entry 5 word for word.
Computed, not measured: a relaxed CaScCl crystal at the PBE level of DFT.

Output
* D(E_F): 1.6 states/eV/f.u.
* E_form (uncorrected): -0.751 eV per atom
* M_tot: 0.000 μB/atom
* space group: Fmm2 (42)

Cell lengths 3.702, 5.950, 14.042 Å; angles 90.00, 90.00, 90.00 degrees
Element x y z (fractional)
Ca  0.000  0.000  0.000
Ca  0.000  0.500  0.500
Ca  0.500  0.000  0.500
Ca  0.500  0.500  0.000
Sc  0.000  0.000  0.308
Sc  0.000  0.500  0.808
Sc  0.500  0.000  0.808
Sc  0.500  0.500  0.308
Cl  0.000  0.000  0.662
Cl  0.000  0.500  0.162
Cl  0.500  0.000  0.162
Cl  0.500  0.500  0.662